# La2Pr8Cd

La2Pr8Cd after structural relaxation (PBE, Alexandria via LeMat-Bulk).

Results
formation energy from the elements	0.0403	eV/atom
density of states at the Fermi level	17.432	states/eV per cell

Cell lengths 5.7175, 7.9893, 9.4865 Å; angles 109.01, 107.54, 90.00 degrees
Positions (direct):
Cd: 0.5000 0.0000 0.0000
La: 0.1859 0.6626 0.3719
La: 0.8141 0.3374 0.6281
Pr: 0.9824 0.2292 0.9648
Pr: 0.3325 0.0639 0.6650
Pr: 0.6675 0.9361 0.3350
Pr: 0.5990 0.4320 0.1980
Pr: 0.4010 0.5680 0.8020
Pr: 0.0176 0.7708 0.0352
Pr: 0.1801 0.2344 0.3602
Pr: 0.8199 0.7656 0.6398